A relaxed MnCdFe2Sb crystal, computed with PBE-GGA.

Summary:
**Space group**: No. 123
**Uncorrected formation energy**: 1.299 eV per atom
**Fermi-level density of states**: 5.44 states/eV/f.u.

Unit cell a=4.791 b=4.791 c=4.904 alpha=90.00 beta=90.00 gamma=90.00
Fractional coordinates of all 5 atoms:
Mn: 0.000 0.000 0.000
Cd: 0.000 0.000 0.500
Fe: 0.000 0.500 0.500
Fe: 0.500 0.000 0.500
Sb: 0.500 0.500 0.000

A relaxed TiMnCd2Fe crystal, computed with PBE-GGA.

Summary:
**Space group**: No. 123
**Fermi-level density of states**: 7.43 states/eV/f.u.
**ΔH_f (0 K)**: 1.352 eV/atom

Unit cell a=5.174 b=5.174 c=4.013 alpha=90.00 beta=90.00 gamma=90.00
Fractional coordinates of all 5 atoms:
Ti: 0.000 0.000 0.000
Mn: 0.000 0.000 0.500
Cd: 0.000 0.500 0.000
Cd: 0.500 0.000 0.000
Fe: 0.500 0.500 0.500

A relaxed CdFe2Mo crystal, computed with PBE-GGA.

Summary:
**Space group**: No. 123
**Fermi-level density of states**: 5.17 states/eV/f.u.
**ΔH_f (0 K)**: 0.448 eV/atom

Unit cell a=4.520 b=4.520 c=2.884 alpha=90.00 beta=90.00 gamma=90.00
Fractional coordinates of all 4 atoms:
Cd: 0.000 0.000 0.000
Fe: 0.000 0.500 0.500
Fe: 0.500 0.000 0.500
Mo: 0.500 0.500 0.000